Entry 1:
VASP calculation (PBE) on a relaxed structure of Pr3Pd3Au.

Cell lengths 5.8006, 5.8006, 16.1296 Å; angles 104.29, 104.29, 40.47 degrees
Last column: nearest neighbours and their distance in Å.
Atoms (fractional coordinates):
Pr  0.0151  0.0151  0.3873  6 Pd 3.05-3.29, 3 Au 3.10-3.11
Pr  0.1079  0.1079  0.9251  7 Pd 3.03-3.14
Pr  0.2243  0.2243  0.2225  5 Pd 3.00-3.16, 2 Au 3.11
Pr  0.7757  0.7757  0.7775  5 Pd 3.00-3.16, 2 Au 3.11
Pr  0.8921  0.8921  0.0749  7 Pd 3.03-3.14
Pr  0.9849  0.9849  0.6127  6 Pd 3.05-3.29, 3 Au 3.10-3.11
Pd  0.3627  0.3627  0.4728  3 Au 2.79-2.94, 1 Pd 2.89, 2 Pr 3.05
Pd  0.3861  0.3861  0.9253  2 Pd 2.97, 7 Pr 3.03-3.14
Pd  0.5004  0.5004  0.2234  1 Au 2.90, 1 Pd 2.97, 5 Pr 3.00-3.16
Pd  0.4996  0.4996  0.7766  1 Au 2.90, 1 Pd 2.97, 5 Pr 3.00-3.16
Pd  0.6139  0.6139  0.0747  2 Pd 2.97, 7 Pr 3.03-3.14
Pd  0.6373  0.6373  0.5272  3 Au 2.79-2.94, 1 Pd 2.89, 2 Pr 3.05
Au  0.2768  0.2768  0.6307  4 Pd 2.79-2.94, 5 Pr 3.10-3.11
Au  0.7232  0.7232  0.3693  4 Pd 2.79-2.94, 5 Pr 3.10-3.11

calculated total energy = -5.51 eV per atom
space group = C2/m (12)
spin magnetization = 0.00 μB/atom
energy of formation from the pure elements = -0.7639 eV per atom

---

Entry 2:
VASP calculation (PBE) on a relaxed structure of AcThSc.

Cell lengths 3.6850, 3.6850, 14.6736 Å; angles 90.00, 90.00, 90.00 degrees
Last column: nearest neighbours and their distance in Å.
Atoms (fractional coordinates):
Ac  0.0000  0.0000  0.0000  4 Th 3.68, 4 Ac 3.69, 4 Sc 3.69
Ac  0.5000  0.5000  0.5000  4 Th 3.68, 4 Ac 3.69, 4 Sc 3.69
Th  0.0000  0.0000  0.6769  4 Sc 3.37, 4 Ac 3.68, 4 Th 3.69
Th  0.5000  0.5000  0.1769  4 Sc 3.37, 4 Ac 3.68, 4 Th 3.69
Sc  0.0000  0.0000  0.3222  4 Th 3.37, 4 Sc 3.69, 4 Ac 3.69
Sc  0.5000  0.5000  0.8222  4 Th 3.37, 4 Sc 3.69, 4 Ac 3.69

calculated total energy = -5.83 eV per atom
distance to the lowest polymorph of the same formula = 0 meV per atom
space group = I4mm (107)
spin magnetization = 0.00 μB/atom
energy of formation from the pure elements = 0.1261 eV per atom

---

Entry 3:
VASP calculation (PBE) on a relaxed structure of TaCo2Au.

Cell lengths 6.6896, 6.6896, 5.4738 Å; angles 90.00, 90.00, 90.00 degrees
Last column: nearest neighbours and their distance in Å.
Atoms (fractional coordinates):
Ta  0.0000  0.0000  0.0000  4 Co 2.37
Ta  0.0000  0.5000  0.2500  4 Co 2.37
Ta  0.5000  0.0000  0.7500  4 Co 2.37
Ta  0.5000  0.5000  0.5000  4 Co 2.37
Co  0.2289  0.2500  0.1250  2 Ta 2.37, 2 Au 2.56
Co  0.2500  0.7289  0.3750  2 Ta 2.37, 2 Au 2.56
Co  0.2500  0.7711  0.8750  2 Ta 2.37, 2 Au 2.56
Co  0.2711  0.2500  0.6250  2 Ta 2.37, 2 Au 2.56
Co  0.7289  0.7500  0.6250  2 Ta 2.37, 2 Au 2.56
Co  0.7500  0.2289  0.8750  2 Ta 2.37, 2 Au 2.56
Co  0.7500  0.2711  0.3750  2 Ta 2.37, 2 Au 2.56
Co  0.7711  0.7500  0.1250  2 Ta 2.37, 2 Au 2.56
Au  0.0000  0.0000  0.5000  4 Co 2.56, 2 Ta 2.74
Au  0.0000  0.5000  0.7500  4 Co 2.56, 2 Ta 2.74
Au  0.5000  0.0000  0.2500  4 Co 2.56, 2 Ta 2.74
Au  0.5000  0.5000  0.0000  4 Co 2.56, 2 Ta 2.74

calculated total energy = -6.95 eV per atom
distance to the lowest polymorph of the same formula = 483 meV per atom
space group = I-42d (122)
spin magnetization = 0.00 μB/atom
energy of formation from the pure elements = 0.3849 eV per atom

---

Entry 4:
VASP calculation (PBE) on a relaxed structure of Cs3Mg2CuCl9.

Cell lengths 7.1979, 7.1979, 8.8429 Å; angles 90.00, 90.00, 120.00 degrees
Last column: nearest neighbours and their distance in Å.
Atoms (fractional coordinates):
Cs  0.0000  0.0000  0.0000  12 Cl 3.60-3.62
Cs  0.3333  0.6667  0.6645  12 Cl 3.58-3.62
Cs  0.6667  0.3333  0.3355  12 Cl 3.58-3.62
Mg  0.3333  0.6667  0.1668  6 Cl 2.55-2.58
Mg  0.6667  0.3333  0.8332  6 Cl 2.55-2.58
Cu  0.0000  0.0000  0.5000  6 Cl 2.51
Cl  0.0000  0.5000  0.0000  2 Mg 2.55
Cl  0.1650  0.3300  0.3366  1 Cu 2.51, 1 Mg 2.58
Cl  0.1650  0.8350  0.3366  1 Cu 2.51, 1 Mg 2.58
Cl  0.3300  0.1650  0.6634  1 Cu 2.51, 1 Mg 2.58
Cl  0.5000  0.0000  0.0000  2 Mg 2.55
Cl  0.5000  0.5000  0.0000  2 Mg 2.55
Cl  0.6700  0.8350  0.3366  1 Cu 2.51, 1 Mg 2.58
Cl  0.8350  0.1650  0.6634  1 Cu 2.51, 1 Mg 2.58
Cl  0.8350  0.6700  0.6634  1 Cu 2.51, 1 Mg 2.58

energy relative to the elements, uncorrected = -1.610 eV per atom
calculated total energy = -3.37 eV per atom
space group = P-3m1 (164)
spin magnetization = 0.07 μB/atom

---

Entry 5:
VASP calculation (PBE) on a relaxed structure of Tl2CrW.

Cell lengths 3.0605, 4.9063, 5.3621 Å; angles 90.00, 90.00, 90.00 degrees
Last column: nearest neighbours and their distance in Å.
Atoms (fractional coordinates):
Tl  0.0000  0.0000  0.0000  4 W 2.89, 6 Tl 3.06-3.09
Tl  0.5000  0.0000  0.5000  4 Cr 2.89, 6 Tl 3.06-3.09
Cr  0.0000  0.5000  0.5000  4 Tl 2.89, 2 Cr 3.06, 4 W 3.09
W  0.5000  0.5000  0.0000  4 Tl 2.89, 2 W 3.06, 4 Cr 3.09

calculated total energy = -5.81 eV per atom
distance to the lowest polymorph of the same formula = 421 meV per atom
space group = Pmmm (47)
spin magnetization = 0.66 μB/atom
energy of formation from the pure elements = 1.0217 eV per atom

---

Entry 6:
VASP calculation (PBE) on a relaxed structure of HoAl2GaPt4.

Cell lengths 8.8806, 8.8806, 8.8806 Å; angles 28.03, 28.03, 28.03 degrees
Last column: nearest neighbours and their distance in Å.
Atoms (fractional coordinates):
Ho  0.0000  0.0000  0.0000  6 Pt 3.03, 6 Al 3.35
Al  0.2453  0.2453  0.2453  6 Pt 2.54-2.74
Al  0.7547  0.7547  0.7547  6 Pt 2.54-2.74
Ga  0.5000  0.5000  0.5000  8 Pt 2.53-2.63
Pt  0.1333  0.1333  0.1333  3 Ga 2.63, 4 Al 2.74-2.87
Pt  0.4010  0.4010  0.4010  1 Ga 2.53, 3 Al 2.54
Pt  0.5990  0.5990  0.5990  1 Ga 2.53, 3 Al 2.54
Pt  0.8667  0.8667  0.8667  3 Ga 2.63, 4 Al 2.74-2.87

calculated total energy = -5.89 eV per atom
space group = R-3m (166)
spin magnetization = 0.00 μB/atom
energy of formation from the pure elements = -0.9842 eV per atom

---

Entry 7:
VASP calculation (PBE) on a relaxed structure of BaAg3Os.

Cell lengths 5.1895, 5.1895, 5.1895 Å; angles 90.00, 90.00, 90.00 degrees
Last column: nearest neighbours and their distance in Å.
Atoms (fractional coordinates):
Ba  0.0000  0.0000  0.0000  12 Ag 3.67
Ag  0.0000  0.5000  0.5000  2 Os 2.59
Ag  0.5000  0.0000  0.5000  2 Os 2.59
Ag  0.5000  0.5000  0.0000  2 Os 2.59
Os  0.5000  0.5000  0.5000  6 Ag 2.59

calculated total energy = -3.69 eV per atom
distance to the lowest polymorph of the same formula = 0 meV per atom
space group = Pm-3m (221)
spin magnetization = 0.31 μB/atom
energy of formation from the pure elements = 0.6549 eV per atom

---

Entry 8:
VASP calculation (PBE) on a relaxed structure of Cs2K2RbHg.

Cell lengths 11.3628, 11.3628, 11.3628 Å; angles 107.99, 89.35, 134.63 degrees
Last column: nearest neighbours and their distance in Å.
Atoms (fractional coordinates):
Cs  0.1943  0.1113  0.3056  2 Hg 4.11, 1 K 4.39
Cs  0.3057  0.6113  0.9170  2 Hg 4.11, 1 K 4.39
Cs  0.6943  0.3887  0.0830  2 Hg 4.11, 1 K 4.39
Cs  0.8057  0.8887  0.6944  2 Hg 4.11, 1 K 4.39
K  0.0680  0.8022  0.8702  2 Hg 3.60
K  0.4320  0.3022  0.7343  2 Hg 3.60
K  0.5680  0.6978  0.2657  2 Hg 3.60
K  0.9320  0.1978  0.1298  2 Hg 3.60
Rb  0.2500  0.7500  0.5000  2 Rb 4.38, 4 K 4.72
Rb  0.7500  0.2500  0.5000  2 Rb 4.38, 4 K 4.72
Hg  0.2500  0.2500  0.0000  4 K 3.60
Hg  0.7500  0.7500  0.0000  4 K 3.60

calculated total energy = -0.92 eV per atom
space group = Ibam (72)
spin magnetization = 0.00 μB/atom
energy of formation from the pure elements = -0.0551 eV per atom

---

Entry 9:
VASP calculation (PBE) on a relaxed structure of BaSrAc2.

Cell lengths 5.6669, 5.6669, 6.1858 Å; angles 90.00, 90.00, 90.00 degrees
Last column: nearest neighbours and their distance in Å.
Atoms (fractional coordinates):
Ba  0.0000  0.0000  0.0000  4 Sr 4.01, 8 Ac 4.19
Sr  0.5000  0.5000  0.0000  4 Ba 4.01, 8 Ac 4.19
Ac  0.0000  0.5000  0.5000  4 Ac 4.01, 4 Ba 4.19, 4 Sr 4.19
Ac  0.5000  0.0000  0.5000  4 Ac 4.01, 4 Ba 4.19, 4 Sr 4.19

calculated total energy = -2.84 eV per atom
distance to the lowest polymorph of the same formula = 53 meV per atom
space group = P4/mmm (123)
spin magnetization = 0.00 μB/atom
energy of formation from the pure elements = 0.1120 eV per atom

---

Entry 10:
VASP calculation (PBE) on a relaxed structure of IrF.

Cell lengths 2.6864, 2.6864, 8.4117 Å; angles 90.00, 90.00, 120.00 degrees
Last column: nearest neighbours and their distance in Å.
Atoms (fractional coordinates):
Ir  0.3333  0.6667  0.0000  1 F 1.95
Ir  0.6667  0.3333  0.5000  1 F 1.95
F  0.3333  0.6667  0.7676  1 Ir 1.95
F  0.6667  0.3333  0.2676  1 Ir 1.95

energy relative to the elements, uncorrected = -0.174 eV per atom
calculated total energy = -5.54 eV per atom
distance to the lowest polymorph of the same formula = 408 meV per atom
space group = P6_3mc (186)
spin magnetization = 0.00 μB/atom

---

Entry 11:
VASP calculation (PBE) on a relaxed structure of LiDyThAg.

Cell lengths 7.3965, 7.3965, 7.3965 Å; angles 90.00, 90.00, 90.00 degrees
Last column: nearest neighbours and their distance in Å.
Atoms (fractional coordinates):
Li  0.0000  0.0000  0.0000  4 Th 3.20, 4 Dy 3.20
Li  0.0000  0.5000  0.5000  4 Th 3.20, 4 Dy 3.20
Li  0.5000  0.0000  0.5000  4 Th 3.20, 4 Dy 3.20
Li  0.5000  0.5000  0.0000  4 Th 3.20, 4 Dy 3.20
Dy  0.2500  0.2500  0.2500  4 Li 3.20, 4 Ag 3.20
Dy  0.2500  0.7500  0.7500  4 Li 3.20, 4 Ag 3.20
Dy  0.7500  0.2500  0.7500  4 Li 3.20, 4 Ag 3.20
Dy  0.7500  0.7500  0.2500  4 Li 3.20, 4 Ag 3.20
Th  0.2500  0.2500  0.7500  4 Li 3.20, 4 Ag 3.20
Th  0.2500  0.7500  0.2500  4 Li 3.20, 4 Ag 3.20
Th  0.7500  0.2500  0.2500  4 Li 3.20, 4 Ag 3.20
Th  0.7500  0.7500  0.7500  4 Li 3.20, 4 Ag 3.20
Ag  0.0000  0.0000  0.5000  4 Dy 3.20, 4 Th 3.20
Ag  0.0000  0.5000  0.0000  4 Dy 3.20, 4 Th 3.20
Ag  0.5000  0.0000  0.0000  4 Dy 3.20, 4 Th 3.20
Ag  0.5000  0.5000  0.5000  4 Dy 3.20, 4 Th 3.20

calculated total energy = -4.13 eV per atom
space group = F-43m (216)
spin magnetization = 0.28 μB/atom
energy of formation from the pure elements = 0.0648 eV per atom

---

Entry 12:
VASP calculation (PBE) on a relaxed structure of PrEr2Tm8.

Cell lengths 9.0058, 9.0058, 8.2651 Å; angles 115.10, 115.10, 34.73 degrees
Last column: nearest neighbours and their distance in Å.
Atoms (fractional coordinates):
Pr  0.0000  0.0000  0.0000  12 Tm 3.32-3.67
Er  0.2981  0.2981  0.3422  10 Tm 3.18-3.55
Er  0.7019  0.7019  0.6578  10 Tm 3.18-3.55
Tm  0.1182  0.1182  0.4448  3 Er 3.18-3.55, 1 Pr 3.32, 3 Tm 3.42-3.44
Tm  0.1675  0.1675  0.8938  1 Pr 3.36, 3 Er 3.37-3.52, 8 Tm 3.38-3.73
Tm  0.3399  0.3399  0.8003  8 Tm 3.38-3.73, 3 Er 3.43-3.53, 2 Pr 3.67
Tm  0.4809  0.4809  0.2782  2 Er 3.41-3.70, 7 Tm 3.42-3.60, 2 Pr 3.65
Tm  0.5191  0.5191  0.7218  2 Er 3.41-3.70, 7 Tm 3.42-3.60, 2 Pr 3.65
Tm  0.6601  0.6601  0.1997  8 Tm 3.38-3.73, 3 Er 3.43-3.53, 2 Pr 3.67
Tm  0.8325  0.8325  0.1062  1 Pr 3.36, 3 Er 3.37-3.52, 8 Tm 3.38-3.73
Tm  0.8818  0.8818  0.5552  3 Er 3.18-3.55, 1 Pr 3.32, 3 Tm 3.42-3.44

calculated total energy = -4.41 eV per atom
space group = C2/m (12)
spin magnetization = 0.00 μB/atom
energy of formation from the pure elements = 0.1042 eV per atom

---

Q: Which of these has the highest spin magnetization?
A: Tl2CrW